# ZnMo2Pb

A geometry-optimized ZnMo2Pb structure (GGA-PBE, the Alexandria database).

* space-group type: No. 6
* size of the total moment: 0.0 μB/cell
* ΔE_f: 0.3088 eV per atom

Cell lengths 3.304, 3.303, 6.729 Å; angles 90.00, 90.09, 90.00 degrees
Atoms (fractional coordinates):
Zn (0.000, 0.000, 0.000)
Mo (0.002, 0.000, 0.407)
Mo (0.500, 0.500, 0.209)
Pb (0.503, 0.500, 0.702)